Record 1
DFT (PBE) results for a geometry-optimized Dy3Ga2Pt6 structure.

Cell lengths 8.2547, 8.2547, 8.2547 Å; angles 109.47, 109.47, 109.47 degrees
Last column: nearest neighbours and their distance in Å.
Positions (direct):
Dy: 0.6992 0.0000 0.6992  8 Pt 3.05-3.09, 4 Ga 3.40
Dy: 0.3008 0.0000 0.3008  8 Pt 3.05-3.09, 4 Ga 3.40
Dy: 0.0000 0.3008 0.3008  8 Pt 3.05-3.09, 4 Ga 3.40
Dy: 0.0000 0.6992 0.6992  8 Pt 3.05-3.09, 4 Ga 3.40
Dy: 0.3008 0.3008 0.0000  8 Pt 3.05-3.09, 4 Ga 3.40
Dy: 0.6992 0.6992 0.0000  8 Pt 3.05-3.09, 4 Ga 3.40
Ga: 0.0000 0.5000 0.0000  6 Pt 2.58
Ga: 0.5000 0.0000 0.0000  6 Pt 2.58
Ga: 0.0000 0.0000 0.5000  6 Pt 2.58
Ga: 0.5000 0.5000 0.5000  6 Pt 2.58
Pt: 0.6770 0.3541 0.6770  2 Ga 2.58, 4 Pt 2.76
Pt: 0.6770 0.0000 0.3230  2 Ga 2.58, 4 Pt 2.76
Pt: 0.3230 0.0000 0.6770  2 Ga 2.58, 4 Pt 2.76
Pt: 0.3230 0.6459 0.3230  2 Ga 2.58, 4 Pt 2.76
Pt: 0.0000 0.6770 0.3230  2 Ga 2.58, 4 Pt 2.76
Pt: 0.6459 0.3230 0.3230  2 Ga 2.58, 4 Pt 2.76
Pt: 0.3541 0.6770 0.6770  2 Ga 2.58, 4 Pt 2.76
Pt: 0.0000 0.3230 0.6770  2 Ga 2.58, 4 Pt 2.76
Pt: 0.3230 0.6770 0.0000  2 Ga 2.58, 4 Pt 2.76
Pt: 0.6770 0.6770 0.3541  2 Ga 2.58, 4 Pt 2.76
Pt: 0.3230 0.3230 0.6459  2 Ga 2.58, 4 Pt 2.76
Pt: 0.6770 0.3230 0.0000  2 Ga 2.58, 4 Pt 2.76

Computed properties:
symmetry: Im-3m, No. 229
DFT total energy: -134.84 eV/cell

***

Record 2
DFT (PBE) results for a geometry-optimized Ba3ReCl structure.

Cell lengths 5.9910, 5.9910, 5.9910 Å; angles 90.00, 90.00, 90.00 degrees
Last column: nearest neighbours and their distance in Å.
Positions (direct):
Re: 0.0000 0.0000 0.0000  6 Ba 3.00
Ba: 0.0000 0.5000 0.0000  2 Re 3.00
Ba: 0.0000 0.0000 0.5000  2 Re 3.00
Ba: 0.5000 0.0000 0.0000  2 Re 3.00
Cl: 0.5000 0.5000 0.5000  12 Ba 4.24

Computed properties:
formation energy without anion corrections: 0.1199 eV/atom
polymorph energy (0 for the lowest one): 0 meV/atom
symmetry: Pm-3m, No. 221

***

Record 3
DFT (PBE) results for a geometry-optimized Be2PCl structure.

Cell lengths 5.0251, 5.0251, 6.2235 Å; angles 66.19, 66.19, 90.00 degrees
Last column: nearest neighbours and their distance in Å.
Positions (direct):
P: 0.5000 0.5000 0.0000  4 Be 2.09
P: 0.2500 0.7500 0.5000  4 Be 2.09
Be: 0.5875 0.1250 0.2500  2 P 2.09, 2 Cl 2.30
Be: 0.1625 0.6250 0.2500  2 P 2.09, 2 Cl 2.30
Be: 0.3750 0.4125 0.7500  2 P 2.09, 2 Cl 2.30
Be: 0.8750 0.8375 0.7500  2 P 2.09, 2 Cl 2.30
Cl: 0.0000 0.0000 0.0000  4 Be 2.30
Cl: 0.7500 0.2500 0.5000  4 Be 2.30

Computed properties:
formation energy without anion corrections: -0.5185 eV/atom
polymorph energy (0 for the lowest one): 0 meV/atom
symmetry: I-42d, No. 122

***

Record 4
DFT (PBE) results for a geometry-optimized TbSn2I8 structure.

Cell lengths 8.0079, 8.9693, 8.9693 Å; angles 82.39, 78.48, 78.48 degrees
Last column: nearest neighbours and their distance in Å.
Positions (direct):
Tb: 0.0000 0.0000 0.0000  6 I 3.05-3.07
Sn: 0.6285 0.8226 0.8226  4 I 2.80-3.14
Sn: 0.3715 0.1774 0.1774  4 I 2.80-3.14
I: 0.2097 0.2557 0.8923  1 Sn 3.03, 1 Tb 3.05
I: 0.7903 0.1077 0.7443  1 Sn 3.03, 1 Tb 3.05
I: 0.2575 0.7865 0.7865  1 Tb 3.07, 1 Sn 3.14
I: 0.7425 0.2135 0.2135  1 Tb 3.07, 1 Sn 3.14
I: 0.2097 0.8923 0.2557  1 Sn 3.03, 1 Tb 3.05
I: 0.7903 0.7443 0.1077  1 Sn 3.03, 1 Tb 3.05
I: 0.8334 0.6191 0.6191  1 Sn 2.80
I: 0.1666 0.3809 0.3809  1 Sn 2.80

Computed properties:
formation energy without anion corrections: -0.6982 eV/atom
symmetry: C2/m, No. 12

***

For the records above, the corresponding size of the total moment values read 0.0 0.0 0.0 0.0 μB per formula unit.